First-principles (SCAN) data for a crystal of ZrCo4 relaxed with PBEsol, as listed in the Alexandria database.

Lattice parameters (Å, degrees): 3.629 4.473 4.473 80.53 66.07 66.07
Site moments in Bohr magnetons follow the coordinates.
Positions (direct):
Co1 0.816 0.768 0.599  1.59
Co2 0.184 0.232 0.401  1.59
Co3 0.585 0.599 0.232  1.59
Co4 0.415 0.401 0.768  1.59
Zr1 0.000 0.000 0.000  -0.37

## Properties
- Symmetry: I4/m
- ΔH_f (0 K): 0.017 eV/atom
- V: 12.1 A^3/atom
- Uncorrected energy: -19.966 eV per atom

---

First-principles (SCAN) data for a crystal of LaZnIn2As relaxed with PBEsol, as listed in the Alexandria database.

Lattice parameters (Å, degrees): 5.208 5.208 5.662 90.00 90.00 90.00
Positions (direct):
As1 0.000 0.000 0.000
In1 0.000 0.500 0.000
In2 0.500 0.000 0.000
Zn1 0.500 0.500 0.500
La1 0.000 0.000 0.500

## Properties
- Symmetry: P4/mmm
- ΔH_f (0 K): 0.068 eV/atom
- V: 30.7 A^3/atom
- Uncorrected energy: -28.649 eV per atom

---

First-principles (SCAN) data for a crystal of MgTiNiP3O12 relaxed with PBEsol, as listed in the Alexandria database.

Lattice parameters (Å, degrees): 8.360 8.360 8.360 60.90 60.90 60.90
Site moments in Bohr magnetons follow the coordinates.
Positions (direct):
Mg1 0.997 0.997 0.997  0.00
Mg2 0.497 0.497 0.497  0.00
Ti1 0.142 0.142 0.142  0.00
Ti2 0.642 0.642 0.642  0.00
Ni1 0.359 0.359 0.359  1.11
Ni2 0.859 0.859 0.859  1.11
P1 0.460 0.044 0.747  0.01
P2 0.747 0.460 0.044  0.01
P3 0.044 0.747 0.460  0.01
P4 0.960 0.247 0.544  0.01
P5 0.247 0.544 0.960  0.01
P6 0.544 0.960 0.247  0.01
O1 0.512 0.119 0.310  -0.03
O2 0.119 0.310 0.512  -0.03
O3 0.259 0.053 0.910  0.00
O4 0.310 0.512 0.119  -0.03
O5 0.619 0.012 0.810  -0.03
O6 0.443 0.243 0.584  -0.02
O7 0.910 0.259 0.053  0.00
O8 0.584 0.443 0.243  -0.02
O9 0.005 0.180 0.381  0.00
O10 0.243 0.584 0.443  -0.02
O11 0.943 0.084 0.743  -0.02
O12 0.180 0.381 0.005  0.00
O13 0.810 0.619 0.012  -0.03
O14 0.053 0.910 0.259  0.00
O15 0.759 0.410 0.553  0.00
O16 0.012 0.810 0.619  -0.03
O17 0.410 0.553 0.759  0.00
O18 0.084 0.743 0.943  -0.02
O19 0.553 0.759 0.410  0.00
O20 0.381 0.005 0.180  0.00
O21 0.680 0.505 0.881  0.00
O22 0.743 0.943 0.084  -0.02
O23 0.881 0.680 0.505  0.00
O24 0.505 0.881 0.680  0.00

## Properties
- Symmetry: R3c
- Raw formation energy: -45.3 eV/f.u.
- V: 11.7 A^3/atom
- Uncorrected energy: -10.467 eV per atom

---

First-principles (SCAN) data for a crystal of SnMo2C relaxed with PBEsol, as listed in the Alexandria database.

Lattice parameters (Å, degrees): 4.325 4.325 4.325 60.00 60.00 60.00
Positions (direct):
C1 0.000 0.000 0.000
Mo1 0.250 0.250 0.250
Mo2 0.750 0.750 0.750
Sn1 0.500 0.500 0.500

## Properties
- Symmetry: Fm-3m
- ΔH_f (0 K): 1.433 eV/atom
- V: 14.3 A^3/atom
- Uncorrected energy: -27.515 eV per atom

---

First-principles (SCAN) data for a crystal of PtRhW relaxed with PBEsol, as listed in the Alexandria database.

Lattice parameters (Å, degrees): 2.745 2.745 6.126 102.95 102.95 90.00
Positions (direct):
Rh1 0.674 0.674 0.347
Pt1 0.997 0.997 0.993
W1 0.330 0.330 0.659

## Properties
- Symmetry: I4mm
- ΔH_f (0 K): -0.285 eV/atom
- Relative energy among the computed polymorphs: 1.568 kcal/mol of atoms
- V: 14.6 A^3/atom
- Uncorrected energy: -58.169 eV per atom

---

First-principles (SCAN) data for a crystal of SrY2Cd relaxed with PBEsol, as listed in the Alexandria database.

Lattice parameters (Å, degrees): 3.884 5.477 6.711 114.08 106.82 90.00
Site moments in Bohr magnetons follow the coordinates.
Positions (direct):
Cd1 0.490 0.490 0.980  0.00
Sr1 0.220 0.720 0.439  0.03
Y1 0.005 0.005 0.009  0.11
Y2 0.786 0.286 0.571  0.12

## Properties
- Symmetry: Imm2
- ΔH_f (0 K): -0.047 eV/atom
- V: 30.9 A^3/atom
- Uncorrected energy: -27.141 eV per atom

---

First-principles (SCAN) data for a crystal of Sm2Fe17C2 relaxed with PBEsol, as listed in the Alexandria database.

Lattice parameters (Å, degrees): 6.363 6.363 6.365 83.56 83.56 84.15
Site moments in Bohr magnetons follow the coordinates.
Positions (direct):
Sm1 0.650 0.650 0.669  -0.35
Sm2 0.350 0.350 0.331  -0.35
Fe1 0.343 0.343 0.855  2.79
Fe2 0.853 0.344 0.340  2.32
Fe3 0.344 0.853 0.340  2.32
Fe4 0.657 0.657 0.145  2.79
Fe5 0.147 0.656 0.660  2.32
Fe6 0.656 0.147 0.660  2.32
Fe7 0.903 0.903 0.905  2.82
Fe8 0.097 0.097 0.095  2.82
Fe9 0.000 0.000 0.500  2.70
Fe10 0.500 0.000 0.000  2.51
Fe11 0.000 0.500 0.000  2.51
Fe12 0.725 0.275 0.000  2.66
Fe13 0.996 0.717 0.286  2.02
Fe14 0.283 0.004 0.714  2.02
Fe15 0.004 0.283 0.714  2.02
Fe16 0.717 0.996 0.286  2.02
Fe17 0.275 0.725 0.000  2.66
C1 0.000 0.500 0.500  -0.18
C2 0.500 0.000 0.500  -0.18

## Properties
- Symmetry: C2/m
- ΔH_f (0 K): -0.026 eV/atom
- V: 12.1 A^3/atom
- Uncorrected energy: -19.897 eV per atom

---

First-principles (SCAN) data for a crystal of SrTl3 relaxed with PBEsol, as listed in the Alexandria database.

Lattice parameters (Å, degrees): 4.912 4.905 5.934 114.41 114.45 90.00
Positions (direct):
Sr1 0.000 0.000 0.000
Tl1 0.500 0.500 0.000
Tl2 0.750 0.250 0.500
Tl3 0.250 0.750 0.500

## Properties
- Symmetry: I4/mmm
- ΔH_f (0 K): -0.341 eV/atom
- V: 29.0 A^3/atom
- Uncorrected energy: -60.179 eV per atom

---

We obtain N(E_F) values of 4.33 3.71 1.53 2.73 2.40 4.79 10.86 2.06 states/eV/f.u. for the records listed above, in that order.